Here is a geometry-optimized Cs2Tl3AgF12 structure from Alexandria. Energies are from PBE.

abc: 7.905 7.905 7.905
angles: 64.38 64.38 64.38
Positions (direct):
Cs 0.124 0.124 0.124
Cs 0.876 0.876 0.876
Tl 0.000 0.500 0.500
Tl 0.500 0.000 0.500
Tl 0.500 0.500 0.000
Ag 0.500 0.500 0.500
F 0.132 0.603 0.603
F 0.188 0.188 0.592
F 0.188 0.592 0.188
F 0.397 0.397 0.868
F 0.397 0.868 0.397
F 0.408 0.812 0.812
F 0.592 0.188 0.188
F 0.603 0.132 0.603
F 0.603 0.603 0.132
F 0.812 0.408 0.812
F 0.812 0.812 0.408
F 0.868 0.397 0.397


Here is a geometry-optimized LiNiHgPb2 structure from Alexandria. Energies are from PBE.

abc: 5.042 5.042 4.945
angles: 90.00 90.00 90.00
Positions (direct):
Li 0.000 0.000 0.000
Ni 0.000 0.000 0.500
Hg 0.500 0.500 0.000
Pb 0.000 0.500 0.500
Pb 0.500 0.000 0.500

Results
The formation energy is 17 kJ/mol of formula units.


Here is a geometry-optimized CsCaTeHAu structure from Alexandria. Energies are from PBE.

abc: 4.938 4.938 8.132
angles: 90.00 90.00 120.00
Positions (direct):
Cs 0.000 0.000 0.000
Ca 0.667 0.333 0.490
Te 0.333 0.667 0.667
H 0.333 0.667 0.136
Au 0.333 0.667 0.336


Here is a geometry-optimized TlCu structure from Alexandria. Energies are from PBE.

abc: 3.294 3.267 7.860
angles: 90.00 95.36 90.00
Positions (direct):
Tl 0.200 0.250 0.190
Tl 0.800 0.750 0.810
Cu 0.262 0.250 0.562
Cu 0.738 0.750 0.438

Results
The formation energy is 41 kJ/mol of formula units.


Total moment in μB/atom, matching the order above: 0.008, 0.000, 0.001, 0.000
DFT total energy in eV/atom, matching the order above: -3.882, -3.047, -3.157, -3.020